P:
An optimized crystal structure of DySbSe3. Source: Alexandria, functional PBE-GGA.

Cell and atoms, written as CIF:
```
data_DySbSe3
_cell_length_a 7.2594
_cell_length_b 4.0819
_cell_length_c 10.3601
_cell_angle_alpha 90.00
_cell_angle_beta 90.01
_cell_angle_gamma 90.00
_symmetry_space_group_name_H-M 'P 1 21/m 1'
_symmetry_Int_Tables_number 11
loop_
_symmetry_equiv_pos_as_xyz
'x,y,z'
'-x,-y,-z'
'-x,y+1/2,-z'
'x,-y+1/2,z'
loop_
_atom_site_label
_atom_site_type_symbol
_atom_site_fract_x
_atom_site_fract_y
_atom_site_fract_z
Dy1 Dy 0.0736 0.2500 0.1720
Sb1 Sb 0.4142 0.2500 0.8078
Se1 Se 0.0965 0.2500 0.6772
Se2 Se 0.2318 0.7500 0.0057
Se3 Se 0.4157 0.2500 0.3247
```

---

Q:
An optimized crystal structure of DySbSe3. Source: Alexandria, functional PBE-GGA.

Cell and atoms, written as CIF:
```
data_DySbSe3
_cell_length_a 6.9632
_cell_length_b 6.9632
_cell_length_c 7.1133
_cell_angle_alpha 90.00
_cell_angle_beta 90.00
_cell_angle_gamma 120.00
_symmetry_space_group_name_H-M 'P -6 c 2'
_symmetry_Int_Tables_number 188
_symmetry_space_group_name_Hall 'P -6c 2'
loop_
_atom_site_label
_atom_site_type_symbol
_atom_site_fract_x
_atom_site_fract_y
_atom_site_fract_z
Dy1 Dy 0.0000 0.0000 0.0000
Sb1 Sb 0.6667 0.3333 0.0000
Se1 Se 0.3307 0.0055 0.2500
```

---

The data favor P; the next most stable structure lies 0.119 eV/atom above it.

---

P:
# Dy3SbSe (PBE-GGA, optimized geometry)
# density of states at the Fermi level = 8.544 states/eV/cell
data_Dy3SbSe
_cell_length_a 7.0007
_cell_length_b 4.2002
_cell_length_c 10.7783
_cell_angle_alpha 90.00
_cell_angle_beta 98.70
_cell_angle_gamma 90.00
_symmetry_space_group_name_H-M 'P 1 21/m 1'
_symmetry_Int_Tables_number 11
loop_
_symmetry_equiv_pos_as_xyz
'x,y,z'
'-x,-y,-z'
'-x,y+1/2,-z'
'x,-y+1/2,z'
loop_
_atom_site_label
_atom_site_type_symbol
_atom_site_fract_x
_atom_site_fract_y
_atom_site_fract_z
Dy1 Dy 0.1829 0.2500 0.4289
Dy2 Dy 0.2733 0.7500 0.0755
Dy3 Dy 0.3029 0.7500 0.7386
Sb1 Sb 0.4531 0.7500 0.3519
Se1 Se 0.0281 0.2500 0.1492

---

Q:
# Dy3SbSe (PBE-GGA, optimized geometry)
# density of states at the Fermi level = 10.092 states/eV/cell
data_Dy3SbSe
_cell_length_a 8.5083
_cell_length_b 4.1282
_cell_length_c 15.3469
_cell_angle_alpha 90.00
_cell_angle_beta 90.00
_cell_angle_gamma 90.00
_symmetry_space_group_name_H-M 'P n m a'
_symmetry_Int_Tables_number 62
loop_
_symmetry_equiv_pos_as_xyz
'x,y,z'
'-x,-y,-z'
'-x+1/2,-y,z+1/2'
'x+1/2,y,-z+1/2'
'x+1/2,-y+1/2,-z+1/2'
'-x+1/2,y+1/2,z+1/2'
'-x,y+1/2,-z'
'x,-y+1/2,z'
loop_
_atom_site_label
_atom_site_type_symbol
_atom_site_fract_x
_atom_site_fract_y
_atom_site_fract_z
Dy1 Dy 0.0214 0.2500 0.1115
Dy2 Dy 0.1564 0.2500 0.5412
Dy3 Dy 0.1779 0.7500 0.2823
Sb1 Sb 0.1002 0.7500 0.6917
Se1 Se 0.1846 0.2500 0.9491

---

The data favor Q; the next most stable structure lies 0.284 eV/atom above it.

---

P:
# SmDy2Sb (PBE-GGA, optimized geometry)
# density of states at the Fermi level = 24.444 states/eV/cell
data_SmDy2Sb
_cell_length_a 4.1260
_cell_length_b 12.2928
_cell_length_c 9.6216
_cell_angle_alpha 90.00
_cell_angle_beta 90.00
_cell_angle_gamma 90.00
_symmetry_space_group_name_H-M 'C m c m'
_symmetry_Int_Tables_number 63
_symmetry_space_group_name_Hall '-C 2c 2'
loop_
_atom_site_label
_atom_site_type_symbol
_atom_site_fract_x
_atom_site_fract_y
_atom_site_fract_z
Sm1 Sm 0.0000 0.0581 0.2500
Dy1 Dy 0.0000 0.3627 0.0433
Sb1 Sb 0.0000 0.2383 0.7500

---

Q:
# SmDy2Sb (PBE-GGA, optimized geometry)
# density of states at the Fermi level = 4.535 states/eV/cell
data_SmDy2Sb
_cell_length_a 3.9907
_cell_length_b 3.9907
_cell_length_c 7.3440
_cell_angle_alpha 90.00
_cell_angle_beta 90.00
_cell_angle_gamma 90.00
_symmetry_space_group_name_H-M 'P 4/m m m'
_symmetry_Int_Tables_number 123
_symmetry_space_group_name_Hall '-P 4 2'
loop_
_atom_site_label
_atom_site_type_symbol
_atom_site_fract_x
_atom_site_fract_y
_atom_site_fract_z
Sm1 Sm 0.0000 0.0000 0.0000
Dy1 Dy 0.5000 0.5000 0.2808
Sb1 Sb 0.0000 0.0000 0.5000

---

The data favor P; the next most stable structure lies 0.085 eV/atom above it.

---

P:
# SmDy2Sb (PBE-GGA, optimized geometry)
# density of states at the Fermi level = 12.915 states/eV/cell
data_SmDy2Sb
_cell_length_a 3.9632
_cell_length_b 3.9632
_cell_length_c 29.2093
_cell_angle_alpha 90.00
_cell_angle_beta 90.00
_cell_angle_gamma 120.00
_symmetry_space_group_name_H-M 'R -3 m'
_symmetry_Int_Tables_number 166
_symmetry_space_group_name_Hall '-R 3 2"'
loop_
_atom_site_label
_atom_site_type_symbol
_atom_site_fract_x
_atom_site_fract_y
_atom_site_fract_z
Sm1 Sm 0.0000 0.0000 0.0000
Dy1 Dy 0.0000 0.0000 0.2336
Sb1 Sb 0.0000 0.0000 0.5000

---

Q:
# SmDy2Sb (PBE-GGA, optimized geometry)
# density of states at the Fermi level = 12.884 states/eV/cell
data_SmDy2Sb
_cell_length_a 4.0102
_cell_length_b 4.0102
_cell_length_c 28.6592
_cell_angle_alpha 90.00
_cell_angle_beta 90.00
_cell_angle_gamma 120.00
_symmetry_space_group_name_H-M 'R 3 m'
_symmetry_Int_Tables_number 160
_symmetry_space_group_name_Hall 'R 3 -2"'
loop_
_atom_site_label
_atom_site_type_symbol
_atom_site_fract_x
_atom_site_fract_y
_atom_site_fract_z
Sm1 Sm 0.0000 0.0000 0.0000
Dy1 Dy 0.0000 0.0000 0.5668
Dy2 Dy 0.0000 0.0000 0.7656
Sb1 Sb 0.0000 0.0000 0.1658

---

R:
# SmDy2Sb (PBE-GGA, optimized geometry)
# density of states at the Fermi level = 4.253 states/eV/cell
data_SmDy2Sb
_cell_length_a 4.8242
_cell_length_b 4.8242
_cell_length_c 4.7884
_cell_angle_alpha 90.00
_cell_angle_beta 90.00
_cell_angle_gamma 90.00
_symmetry_space_group_name_H-M 'P 4/m m m'
_symmetry_Int_Tables_number 123
_symmetry_space_group_name_Hall '-P 4 2'
loop_
_atom_site_label
_atom_site_type_symbol
_atom_site_fract_x
_atom_site_fract_y
_atom_site_fract_z
Sm1 Sm 0.0000 0.0000 0.0000
Dy1 Dy 0.0000 0.5000 0.5000
Sb1 Sb 0.5000 0.5000 0.0000

---

The data favor R; the next most stable structure lies 0.157 eV/atom above it.